BeAlCd: relaxed, GGA-PBE.

Computed properties:
Energy relative to the elements, kJ/mol of formula units: 71
Volume, Å³/atom: 16.93
Energy relative to the lowest polymorph listed for this composition, meV/atom: 0

a = 5.8785 Å, b = 5.8785 Å, c = 5.8785 Å
α = 90.00°, β = 90.00°, γ = 90.00°
Space group F-43m (No. 216)
One atom of each set of equivalent atoms:
Be 0.0000 0.0000 0.0000 (multiplicity 4)
Al 0.2500 0.2500 0.7500 (multiplicity 4)
Cd 0.2500 0.2500 0.2500 (multiplicity 4)

=====

La4HoS7: relaxed, GGA-PBE.

Computed properties:
Raw formation energy, eV per atom: -2.162
Volume, Å³/atom: 25.97

a = 13.5153 Å, b = 4.0075 Å, c = 11.9514 Å
α = 90.00°, β = 105.63°, γ = 90.00°
Space group Cm (No. 8)
One atom of each set of equivalent atoms:
La 0.0000 0.0000 0.0000 (multiplicity 2)
La 0.0865 0.5000 0.3786 (multiplicity 2)
La 0.1914 0.0000 0.7665 (multiplicity 2)
La 0.3878 0.5000 0.5692 (multiplicity 2)
Ho 0.2760 0.5000 0.1499 (multiplicity 2)
S 0.0482 0.5000 0.6238 (multiplicity 2)
S 0.1313 0.5000 0.9330 (multiplicity 2)
S 0.1606 0.0000 0.2197 (multiplicity 2)
S 0.2271 0.0000 0.5212 (multiplicity 2)
S 0.3468 0.5000 0.7880 (multiplicity 2)
S 0.3806 0.0000 0.0764 (multiplicity 2)
S 0.4281 0.5000 0.3490 (multiplicity 2)

=====

Zr2ScB2: relaxed, GGA-PBE.

Computed properties:
Energy relative to the elements, kJ/mol of formula units: -216
Volume, Å³/atom: 15.08

a = 6.4969 Å, b = 6.4969 Å, c = 3.5736 Å
α = 90.00°, β = 90.00°, γ = 90.00°
Space group P4/mbm (No. 127)
One atom of each set of equivalent atoms:
Zr 0.1771 0.3229 0.0000 (multiplicity 4)
Sc 0.0000 0.0000 0.5000 (multiplicity 2)
B 0.0966 0.5966 0.5000 (multiplicity 4)